[1]
This record from the Alexandria database describes a relaxed Y2TlSb crystal. The functional is PBE.

extended XYZ file:
```
4
Lattice="-2.352 -0.500 -3.160 -3.087 -0.676 2.405 -1.473 6.803 0.021" Properties=species:S:1:pos:R:3 pbc="T T T"
Y -1.119 5.171 0.016
Y -0.353 1.632 0.005
Sb -2.720 -0.588 -0.378
Tl -3.456 2.814 -0.368
```

Calculated values
- polymorph energy (0 for the lowest one) (eV/atom) = 0.132
- size of the total moment (μB per atom) = 0.000
- formation energy without anion corrections (kJ/mol of formula units) = -240
- calculated density (g/cm³) = 7.6

[2]
This record from the Alexandria database describes a relaxed Pm4Ho4Sc crystal. The functional is PBE.

extended XYZ file:
```
9
Lattice="-2.497 -4.531 1.105 2.684 -2.421 -3.863 8.335 0.686 8.984" Properties=species:S:1:pos:R:3 pbc="T T T"
Pm 6.349 -3.844 4.988
Pm 3.530 -3.647 -0.716
Pm 6.254 -0.329 6.383
Pm 0.911 -4.714 1.796
Ho 7.087 -1.580 9.536
Ho 9.677 -0.525 7.052
Ho 4.248 -1.406 3.832
Ho 4.274 -4.860 2.393
Sc 0.000 0.000 0.000
```

Calculated values
- polymorph energy (0 for the lowest one) (eV/atom) = 0.630
- size of the total moment (μB per atom) = 0.128
- calculated formation energy (meV/atom) = 664
- calculated density (g/cm³) = 6.5